# 1
VASP calculation (PBE) on a relaxed structure of RbY2CuO4.

For the calculated density, the calculation gives 5.27 g/cm3. As for the density of states at the Fermi level: 0.0 states/eV/cell. Its space group is Cmcm, No. 63. For the energy relative to the elements, uncorrected, the calculation gives -2428.7 meV per atom. As for the calculated total energy: -7.157 eV/atom.

The structure in extended XYZ format:
```
16
Lattice="-1.708 1.755 -2.494 -3.510 0.313 5.073 5.566 10.009 3.233" Properties=species:S:1:pos:R:3 pbc="T T T"
Rb 3.298 7.746 3.193
Rb -2.950 4.332 2.619
Y -0.084 6.475 4.615
Y -1.687 1.793 -0.033
Y 0.432 5.603 1.198
Y 2.035 10.285 5.845
Cu 0.482 9.159 3.667
Cu -0.134 2.919 2.146
O -1.671 1.562 2.243
O 0.304 7.432 2.573
O 2.019 10.516 3.569
O 0.044 4.646 3.239
O 2.783 5.005 1.617
O 0.000 0.000 0.000
O 0.542 8.498 5.610
O -0.194 3.580 0.203
```

# 2
VASP calculation (PBE) on a relaxed structure of CuRe3O.

For the calculated density, the calculation gives 15.95 g/cm3. As for the density of states at the Fermi level: 4.2 states/eV/cell. Its space group is Pm-3m, No. 221. For the energy above the most stable polymorph in this dataset, the calculation gives 0.0 meV/atom. For the energy relative to the elements, uncorrected, the calculation gives 606.5 meV per atom. As for the calculated total energy: -8.673 eV/atom.

The structure in extended XYZ format:
```
5
Lattice="4.051 0.000 0.000 0.000 4.051 0.000 0.000 0.000 4.051" Properties=species:S:1:pos:R:3 pbc="T T T"
Re 0.000 2.025 0.000
Re 0.000 0.000 2.025
Re 2.025 0.000 0.000
O 0.000 0.000 0.000
Cu 2.025 2.025 2.025
```

# 3
VASP calculation (PBE) on a relaxed structure of CuReO3.

For the calculated density, the calculation gives 9.56 g/cm3. As for the density of states at the Fermi level: 4.2 states/eV/cell. Its space group is Pm-3m, No. 221. For the energy relative to the elements, uncorrected, the calculation gives 501.7 meV per atom. As for the calculated total energy: -5.782 eV/atom.

The structure in extended XYZ format:
```
5
Lattice="3.726 0.000 0.000 0.000 3.726 0.000 0.000 0.000 3.726" Properties=species:S:1:pos:R:3 pbc="T T T"
Re 1.863 1.863 1.863
O 0.000 1.863 0.000
O 0.000 0.000 1.863
O 1.863 0.000 0.000
Cu 0.000 0.000 0.000
```

Which of these has the lowest calculated total energy? CuRe3O